Computed, not measured: an optimized crystal structure of Ag5BiF8 at the PBE level of DFT.

Properties
As for the total moment: 0.0 Bohr magnetons per cell. The raw formation energy comes out at -1.41 eV/atom. The calculated density comes out at 6.85 g cm⁻³. Its space group is C2, No. 5. Its total DFT energy (no corrections) is -0.13855 hartree per atom.

Geometry as extended XYZ:
```
14
Lattice="-4.525 -4.622 -1.145 2.997 1.666 -5.603 4.456 -2.353 4.216" Properties=species:S:1:pos:R:3 pbc="T T T"
Ag -0.297 -5.753 1.143
Ag 1.342 -4.613 -1.034
Ag -0.298 -2.240 -0.396
Ag 3.692 -3.830 0.844
Ag -2.413 -4.300 -0.320
Bi 3.344 -1.082 -2.380
F 3.203 0.665 -3.921
F 1.318 -0.610 -1.322
F 1.571 -1.741 -3.898
F 3.738 -1.586 -0.041
F -0.770 -3.644 -2.313
F 5.665 -0.987 -2.141
F 3.191 -3.399 -2.138
F 1.317 -3.646 1.188
```